Entry 1:
# AcPrHg6

A relaxed structure of AcPrHg6 (PBE, the Alexandria database).

Lattice parameters (Å, degrees): 5.130 6.972 6.972 119.36 90.00 90.00
Sites, in units of the cell vectors:
Hg 0.000 0.588 0.412
Hg 0.500 0.428 0.098
Hg 0.500 0.902 0.572
Hg 0.000 0.604 0.944
Hg 0.500 0.922 0.078
Hg 0.000 0.056 0.396
Pr 0.000 0.091 0.909
Ac 0.500 0.409 0.591

Calculated values
The total magnetization is 0.0 μB per formula unit. As for the calculated formation energy: -0.40 eV per atom. The value obtained for the final energy is -13.88 eV for the cell shown. The value obtained for the density of states at the Fermi level is 0.822 states/eV per atom.

Entry 2:
# Pr6YEr12

A relaxed structure of Pr6YEr12 (PBE, the Alexandria database).

Lattice parameters (Å, degrees): 8.740 8.740 8.740 98.65 98.65 98.65
Sites, in units of the cell vectors:
Er 0.355 0.081 0.355
Er 0.645 0.919 0.645
Er 0.756 0.500 0.244
Er 0.756 0.244 0.500
Er 0.081 0.355 0.355
Er 0.244 0.500 0.756
Er 0.244 0.756 0.500
Er 0.500 0.756 0.244
Er 0.919 0.645 0.645
Er 0.645 0.645 0.919
Er 0.355 0.355 0.081
Er 0.500 0.244 0.756
Pr 0.902 0.344 0.902
Pr 0.098 0.656 0.098
Pr 0.344 0.902 0.902
Pr 0.098 0.098 0.656
Pr 0.902 0.902 0.344
Pr 0.656 0.098 0.098
Y 0.000 0.000 0.000

Calculated values
The total magnetization is 0.0 μB per formula unit. As for the calculated formation energy: 0.22 eV per atom. The energy above the lowest structure with this stoichiometry comes out at 91 meV per atom. The value obtained for the final energy is -85.70 eV for the cell shown. The value obtained for the density of states at the Fermi level is 1.587 states/eV per atom.

Entry 3:
# RuSeBr2

A relaxed structure of RuSeBr2 (PBE, the Alexandria database).

Lattice parameters (Å, degrees): 3.628 5.890 6.220 49.35 90.00 90.00
Sites, in units of the cell vectors:
Br 0.500 0.321 0.359
Br 0.000 0.972 0.977
Se 0.500 0.664 0.655
Ru 0.000 0.544 0.509

Calculated values
The total magnetization is 0.0 μB per formula unit. The formation energy from raw total energies is -0.113 eV per atom. The energy above the lowest structure with this stoichiometry comes out at 77 meV per atom. The value obtained for the final energy is -16.56 eV for the cell shown. The value obtained for the density of states at the Fermi level is 0.190 states/eV per atom.

Entry 4:
# CaTePbSe

A relaxed structure of CaTePbSe (PBE, the Alexandria database).

Lattice parameters (Å, degrees): 4.449 4.450 6.326 89.98 90.00 90.00
Sites, in units of the cell vectors:
Se 0.500 0.391 0.093
Ca 0.500 0.392 0.593
Te 0.000 0.892 0.592
Pb 0.000 0.891 0.092

Calculated values
The total magnetization is 0.0 μB per formula unit. The formation energy from raw total energies is -1.114 eV per atom. The value obtained for the final energy is -16.79 eV for the cell shown.

Entry 5:
# Ca2NbAs

A relaxed structure of Ca2NbAs (PBE, the Alexandria database).

Lattice parameters (Å, degrees): 10.391 10.391 7.769 48.03 48.03 90.00
Last column: magnetic moment on the atom in μB.
Sites, in units of the cell vectors:
Ca 0.875 0.735 0.750  0.05
Ca 0.485 0.125 0.250  0.05
Ca 0.375 0.515 0.750  0.05
Ca 0.265 0.625 0.250  0.05
Nb 0.750 0.250 0.500  2.05
Nb 0.000 0.000 0.000  2.05
As 0.250 0.750 0.500  -0.07
As 0.500 0.500 0.000  -0.07

Calculated values
The total magnetization is 3.0 μB per formula unit. As for the calculated formation energy: 0.16 eV per atom. The value obtained for the final energy is -36.16 eV for the cell shown. The value obtained for the density of states at the Fermi level is 1.041 states/eV per atom.

Entry 6:
# Li2Hg2BPd4

A relaxed structure of Li2Hg2BPd4 (PBE, the Alexandria database).

Lattice parameters (Å, degrees): 5.887 5.887 5.887 86.61 121.98 121.98
Sites, in units of the cell vectors:
Pd 0.000 0.252 0.748
Pd 0.000 0.748 0.252
Pd 0.496 0.748 0.748
Pd 0.504 0.252 0.252
Hg 0.500 0.250 0.750
Hg 0.500 0.750 0.250
B 0.000 0.000 0.000
Li 0.000 0.727 0.727
Li 0.000 0.273 0.273

Calculated values
The total magnetization is 0.0 μB per formula unit. As for the calculated formation energy: -0.33 eV per atom. The value obtained for the final energy is -34.83 eV for the cell shown. The value obtained for the density of states at the Fermi level is 0.219 states/eV per atom.

Entry 7:
# Hf2ScCo

A relaxed structure of Hf2ScCo (PBE, the Alexandria database).

Lattice parameters (Å, degrees): 3.322 3.322 8.772 79.08 79.08 60.00
Sites, in units of the cell vectors:
Co 0.666 0.666 0.002
Sc 0.501 0.501 0.498
Hf 0.268 0.268 0.196
Hf 0.065 0.065 0.804

Calculated values
The total magnetization is 0.0 μB per formula unit. As for the calculated formation energy: 0.02 eV per atom. The energy above the lowest structure with this stoichiometry comes out at 227 meV per atom. The value obtained for the final energy is -33.28 eV for the cell shown. The value obtained for the density of states at the Fermi level is 1.382 states/eV per atom.

Entry 8:
# Er6SnAs3Se2

A relaxed structure of Er6SnAs3Se2 (PBE, the Alexandria database).

Lattice parameters (Å, degrees): 4.081 8.321 9.221 103.08 102.78 90.00
Sites, in units of the cell vectors:
Er 0.336 0.409 0.671
Er 0.329 0.922 0.659
Er 0.001 0.738 0.002
Er 0.671 0.078 0.341
Er 0.664 0.591 0.329
Er 0.999 0.262 0.998
As 0.500 0.500 0.000
As 0.167 0.832 0.335
As 0.833 0.168 0.665
Se 0.169 0.338 0.338
Se 0.831 0.662 0.662
Sn 0.500 0.000 0.000

Calculated values
The total magnetization is 0.0 μB per formula unit. The formation energy from raw total energies is -1.472 eV per atom. The value obtained for the final energy is -69.96 eV for the cell shown. The value obtained for the density of states at the Fermi level is 0.200 states/eV per atom.

Entry 9:
# Ac3AlGa2

A relaxed structure of Ac3AlGa2 (PBE, the Alexandria database).

Lattice parameters (Å, degrees): 4.526 12.975 13.001 90.00 90.00 90.00
Sites, in units of the cell vectors:
Ga 0.750 0.185 0.037
Ga 0.750 0.987 0.699
Ga 0.750 0.315 0.537
Ga 0.250 0.013 0.301
Ga 0.250 0.685 0.463
Ga 0.750 0.513 0.199
Ga 0.250 0.815 0.963
Ga 0.250 0.487 0.801
Al 0.750 0.864 0.864
Al 0.750 0.636 0.364
Al 0.250 0.364 0.636
Al 0.250 0.136 0.136
Ac 0.250 0.797 0.693
Ac 0.750 0.941 0.118
Ac 0.750 0.617 0.930
Ac 0.250 0.441 0.382
Ac 0.250 0.703 0.193
Ac 0.750 0.559 0.618
Ac 0.250 0.383 0.070
Ac 0.250 0.117 0.570
Ac 0.750 0.203 0.307
Ac 0.750 0.297 0.807
Ac 0.750 0.883 0.430
Ac 0.250 0.059 0.882

Calculated values
The total magnetization is 0.0 μB per formula unit. As for the calculated formation energy: -0.41 eV per atom. The energy above the lowest structure with this stoichiometry comes out at 0 meV per atom. The value obtained for the final energy is -98.33 eV for the cell shown. The value obtained for the density of states at the Fermi level is 0.990 states/eV per atom.

Entry 10:
# RbCdO3

A relaxed structure of RbCdO3 (PBE, the Alexandria database).

Lattice parameters (Å, degrees): 4.261 4.261 4.261 90.00 90.00 90.00
Sites, in units of the cell vectors:
Rb 0.000 0.000 0.000
O 0.000 0.500 0.000
O 0.500 0.000 0.000
O 0.000 0.000 0.500
Cd 0.500 0.500 0.500

Calculated values
The total magnetization is 0.0 μB per formula unit. The formation energy from raw total energies is 0.824 eV per atom. The value obtained for the final energy is -12.64 eV for the cell shown. The value obtained for the density of states at the Fermi level is 0.282 states/eV per atom.

Entry 11:
# In3Te3S

A relaxed structure of In3Te3S (PBE, the Alexandria database).

Lattice parameters (Å, degrees): 6.373 9.208 9.208 119.99 90.00 90.00
Sites, in units of the cell vectors:
Te 0.250 0.622 0.810
Te 0.750 0.811 0.622
Te 0.750 0.811 0.189
Te 0.250 0.189 0.378
Te 0.250 0.189 0.811
Te 0.750 0.378 0.190
In 0.750 0.172 0.828
In 0.750 0.655 0.827
In 0.250 0.828 0.655
In 0.750 0.172 0.345
In 0.250 0.345 0.173
In 0.250 0.828 0.172
S 0.750 0.333 0.667
S 0.250 0.667 0.333

Calculated values
The total magnetization is 0.0 μB per formula unit. The formation energy from raw total energies is -0.267 eV per atom. The value obtained for the final energy is -47.27 eV for the cell shown. The value obtained for the density of states at the Fermi level is 0.351 states/eV per atom.

Entry 12:
# Rb2AcThS4

A relaxed structure of Rb2AcThS4 (PBE, the Alexandria database).

Lattice parameters (Å, degrees): 4.287 7.469 8.135 107.59 90.00 90.00
Sites, in units of the cell vectors:
Rb 0.000 0.500 0.500
Rb 0.500 0.000 0.500
Ac 0.000 0.000 0.000
S 0.000 0.282 0.801
S 0.500 0.747 0.794
S 0.500 0.253 0.206
S 0.000 0.718 0.199
Th 0.500 0.500 0.000

Calculated values
The total magnetization is 0.0 μB per formula unit. The formation energy from raw total energies is -1.742 eV per atom. The value obtained for the final energy is -43.91 eV for the cell shown. The value obtained for the density of states at the Fermi level is 0.552 states/eV per atom.